(P)
As2OsRu | PBE | optimized geometry

a b c (Å): 2.991 5.208 8.081
angles (deg): 90.00 90.00 90.00
Space group Cmmm (No. 65)
One atom of each set of equivalent atoms:
As 0.000 0.000 0.248
Os 0.000 0.500 0.500
Ru 0.000 0.500 0.000

Properties
DOS(E_F) ... 0.98 states/eV/atom
Size of the total moment ... 0.00 μB/f.u.
Density ... 11.638 g/cm3

(Q)
As2OsRu | PBE | optimized geometry

a b c (Å): 8.318 3.200 4.979
angles (deg): 90.00 103.66 90.00
Space group Cm (No. 8)
One atom of each set of equivalent atoms:
As 0.000 0.000 0.000
As 0.235 0.000 0.563
Os 0.499 0.000 0.385
Ru 0.211 0.500 0.963

Properties
DOS(E_F) ... 0.67 states/eV/atom
Size of the total moment ... 0.00 μB/f.u.
Density ... 11.377 g/cm3

Pick (Q): it beats the second-best structure by 410 meV per atom.

(P)
As2OsRu | PBE | optimized geometry

a b c (Å): 2.988 4.053 5.199
angles (deg): 90.00 90.00 90.00
Space group Pmmm (No. 47)
One atom of each set of equivalent atoms:
As 0.000 0.000 0.000
As 0.500 0.000 0.500
Os 0.000 0.500 0.500
Ru 0.500 0.500 0.000

Properties
DOS(E_F) ... 0.79 states/eV/atom
Size of the total moment ... 0.00 μB/f.u.
Density ... 11.638 g/cm3

(Q)
As2OsRu | PBE | optimized geometry

a b c (Å): 2.825 4.926 10.143
angles (deg): 90.00 90.00 90.00
Space group Cmm2 (No. 35)
One atom of each set of equivalent atoms:
As 0.000 0.000 0.000
As 0.000 0.500 0.363
Os 0.000 0.000 0.572
Ru 0.000 0.500 0.795

Properties
DOS(E_F) ... 1.00 states/eV/atom
Size of the total moment ... 0.00 μB/f.u.
Density ... 10.381 g/cm3

Pick (Q): it beats the second-best structure by 130 meV per atom.